1.
First-principles (PBE) data for an optimized crystal structure of La3TmPb2, as listed in Alexandria via LeMat-Bulk.

Computed properties:
Offset from the most stable computed form (meV/atom): 0.0
DFT formation energy (eV/f.u.): -2.7
Total DFT energy (no corrections) (eV per atom): -4.901

Cell lengths 10.1115, 10.1115, 10.1115 Å; angles 141.02, 56.08, 141.33 degrees
Sites, in units of the cell vectors:
La1 0.1737 0.2458 0.4195
La2 0.2500 0.2500 0.0000
La3 0.3263 0.7458 0.0721
La4 0.6737 0.2542 0.9279
La5 0.7500 0.7500 0.0000
La6 0.8263 0.7542 0.5805
Tm1 0.2500 0.7500 0.5000
Tm2 0.7500 0.2500 0.5000
Pb1 0.1372 0.7401 0.8774
Pb2 0.3628 0.2401 0.6029
Pb3 0.6372 0.7599 0.3971
Pb4 0.8628 0.2599 0.1226

2.
First-principles (PBE) data for an optimized crystal structure of CsNa2Zn2P2, as listed in Alexandria via LeMat-Bulk.

Computed properties:
DFT formation energy (eV/f.u.): -2.2
Total DFT energy (no corrections) (eV per atom): -2.721

Cell lengths 13.7165, 13.7165, 13.7165 Å; angles 17.10, 17.10, 17.10 degrees
Sites, in units of the cell vectors:
Cs1 0.0000 0.0000 0.0000
Na1 0.1263 0.1263 0.1263
Na2 0.8737 0.8737 0.8737
Zn1 0.2594 0.2594 0.2594
Zn2 0.7406 0.7406 0.7406
P1 0.4057 0.4057 0.4057
P2 0.5943 0.5943 0.5943

3.
First-principles (PBE) data for an optimized crystal structure of Pm5Dy4Cd4, as listed in Alexandria via LeMat-Bulk.

Computed properties:
DFT formation energy (eV/f.u.): -2.3
Total DFT energy (no corrections) (eV per atom): -3.703

Cell lengths 9.0263, 9.0263, 9.0263 Å; angles 94.84, 94.84, 146.22 degrees
Sites, in units of the cell vectors:
Pm1 0.0000 0.0000 0.0000
Pm2 0.3158 0.6096 0.9255
Pm3 0.3904 0.3158 0.7062
Pm4 0.6096 0.6842 0.2938
Pm5 0.6842 0.3904 0.0745
Dy1 0.0981 0.3942 0.4923
Dy2 0.3942 0.9019 0.2961
Dy3 0.6058 0.0981 0.7039
Dy4 0.9019 0.6058 0.5077
Cd1 0.1000 0.7600 0.8601
Cd2 0.2400 0.1000 0.3400
Cd3 0.7600 0.9000 0.6600
Cd4 0.9000 0.2400 0.1399

4.
First-principles (PBE) data for an optimized crystal structure of Sc2RuRhC, as listed in Alexandria via LeMat-Bulk.

Computed properties:
DFT formation energy (eV/f.u.): -2.5
Total DFT energy (no corrections) (eV per atom): -8.212

Cell lengths 4.5304, 4.5304, 3.8185 Å; angles 90.00, 90.00, 90.00 degrees
Sites, in units of the cell vectors:
Sc1 0.0000 0.5000 0.0000
Sc2 0.5000 0.0000 0.0000
Ru1 0.0000 0.0000 0.5000
Rh1 0.5000 0.5000 0.5000
C1 0.0000 0.0000 0.0000

5.
First-principles (PBE) data for an optimized crystal structure of Y2CuMo, as listed in Alexandria via LeMat-Bulk.

Computed properties:
Offset from the most stable computed form (meV/atom): 198.1
DFT formation energy (eV/f.u.): 1.4
Total DFT energy (no corrections) (eV per atom): -6.620

Cell lengths 5.6247, 5.6247, 5.6247 Å; angles 135.88, 135.88, 64.16 degrees
Sites, in units of the cell vectors:
Y1 0.0000 0.0000 0.0000
Y2 0.7500 0.2500 0.5000
Cu1 0.2500 0.7500 0.5000
Mo1 0.5000 0.5000 0.0000

6.
First-principles (PBE) data for an optimized crystal structure of TaTi2Zn, as listed in Alexandria via LeMat-Bulk.

Computed properties:
DFT formation energy (eV/f.u.): 1.6
Total DFT energy (no corrections) (eV per atom): -6.841

Cell lengths 5.7546, 5.7546, 5.7546 Å; angles 102.72, 102.72, 124.04 degrees
Sites, in units of the cell vectors:
Ta1 0.0000 0.0000 0.0000
Ta2 0.7500 0.2500 0.5000
Ti1 0.1400 0.6250 0.0150
Ti2 0.3750 0.3900 0.5150
Ti3 0.6100 0.1250 0.9850
Ti4 0.8750 0.8600 0.4850
Zn1 0.2500 0.7500 0.5000
Zn2 0.5000 0.5000 0.0000